Entry 1:
A geometry-optimized GaCu2F6 structure. Source: Alexandria via LeMat-Bulk, functional PBE-GGA.

```
GaCu2F6
1.0
5.599 0.000 0.230
0.000 4.941 0.000
-0.354 0.000 8.623
Cu F Ga
4 12 2
direct
0.500 0.000 0.311
0.000 0.500 0.189
0.000 0.500 0.811
0.500 0.000 0.689
0.186 0.327 0.000
0.629 0.267 0.843
0.314 0.827 0.500
0.871 0.769 0.342
0.686 0.173 0.500
0.371 0.733 0.157
0.871 0.767 0.657
0.129 0.231 0.658
0.629 0.269 0.158
0.371 0.731 0.842
0.814 0.673 0.000
0.129 0.233 0.343
0.500 0.500 0.000
0.000 0.000 0.500
```

Values from the calculation:
* symmetry: P2_1/c (14)
* formation energy without anion corrections: -1900 meV per atom

Entry 2:
A geometry-optimized TbTm2Ru3 structure. Source: Alexandria via LeMat-Bulk, functional PBE-GGA.

```
TbTm2Ru3
1.0
3.385 0.000 0.000
0.000 4.520 -1.496
0.000 -0.013 7.538
Ru Tm Tb
3 2 1
direct
0.500 0.500 0.000
0.500 0.832 0.664
0.500 0.168 0.336
0.000 0.668 0.335
0.000 0.332 0.665
0.000 0.000 0.000
```

Values from the calculation:
* symmetry: Cmmm (65)
* offset from the most stable computed form: 3.6 meV per atom

Entry 3:
A geometry-optimized Ca2PmSn2 structure. Source: Alexandria via LeMat-Bulk, functional PBE-GGA.

```
Ca2PmSn2
1.0
-1.014 2.808 4.389
-6.460 -1.539 -0.507
1.874 -8.806 2.857
Sn Pm Ca
4 2 4
direct
0.423 0.477 0.846
0.181 0.477 0.363
0.577 0.977 0.154
0.819 0.977 0.637
0.401 0.977 0.801
0.599 0.477 0.199
0.000 0.227 0.000
0.000 0.727 0.000
0.804 0.477 0.608
0.196 0.977 0.392
```

Values from the calculation:
* total energy: -3.890 eV/atom
* symmetry: Cmcm (63)

Entry 4:
A geometry-optimized MgH structure. Source: Alexandria via LeMat-Bulk, functional PBE-GGA.

```
MgH
1.0
-0.206 0.718 3.009
8.156 -4.737 1.690
2.546 4.096 -0.803
H Mg
6 6
direct
0.500 0.707 0.940
0.500 0.293 0.940
0.000 0.000 0.464
0.500 0.793 0.440
0.000 0.500 0.964
0.500 0.207 0.440
0.000 0.842 0.721
0.500 0.500 0.712
0.000 0.342 0.221
0.500 0.000 0.212
0.000 0.658 0.221
0.000 0.158 0.721
```

Values from the calculation:
* symmetry: Amm2 (38)
* offset from the most stable computed form: 99.8 meV per atom

Entry 5:
A geometry-optimized La6Tb5Sm structure. Source: Alexandria via LeMat-Bulk, functional PBE-GGA.

```
La6Tb5Sm
1.0
5.795 2.166 0.972
3.216 9.102 0.967
2.963 5.051 9.768
La Sm Tb
6 1 5
direct
0.749 0.417 0.666
0.750 0.750 0.000
0.251 0.583 0.334
0.250 0.917 0.666
0.250 0.250 0.000
0.750 0.083 0.334
0.000 0.000 0.000
0.500 0.167 0.666
0.999 0.667 0.667
0.500 0.500 0.000
0.001 0.333 0.333
0.500 0.833 0.334
```

Values from the calculation:
* symmetry: P-1 (2)
* offset from the most stable computed form: 0.0 meV per atom

Entry 6:
A geometry-optimized CuMoH3 structure. Source: Alexandria via LeMat-Bulk, functional PBE-GGA.

```
CuMoH3
1.0
-1.300 -0.873 -3.106
3.069 -1.369 -0.900
-0.996 -3.077 1.282
H Cu Mo
3 1 1
direct
0.000 0.500 0.000
0.000 0.000 0.500
0.500 0.000 0.000
0.500 0.500 0.500
0.000 0.000 0.000
```

Values from the calculation:
* symmetry: Pm-3m (221)
* offset from the most stable computed form: 0.0 meV per atom

Entry 7:
A geometry-optimized Th2Al4SiPt3 structure. Source: Alexandria via LeMat-Bulk, functional PBE-GGA.

```
Th2Al4SiPt3
1.0
4.289 0.000 0.000
0.000 4.289 0.000
0.000 0.000 10.391
Al Th Si Pt
4 2 1 3
direct
0.000 0.000 0.000
0.500 0.500 0.000
0.000 0.500 0.368
0.500 0.000 0.632
0.500 0.000 0.250
0.000 0.500 0.750
0.500 0.500 0.500
0.500 0.000 0.867
0.000 0.000 0.500
0.000 0.500 0.133
```

Values from the calculation:
* symmetry: P-4m2 (115)
* formation energy without anion corrections: -994 meV per atom

Entry 8:
A geometry-optimized Ba2MnMo structure. Source: Alexandria via LeMat-Bulk, functional PBE-GGA.

```
Ba2MnMo
1.0
-2.682 -2.313 0.185
1.290 -1.716 -2.746
7.247 -8.251 1.940
Ba Mn Mo
2 1 1
direct
0.500 0.318 0.329
0.000 0.921 0.927
0.000 0.431 0.588
0.500 0.830 0.656
```

Values from the calculation:
* symmetry: Pm (6)
* offset from the most stable computed form: 128.4 meV per atom

Entry 9:
A geometry-optimized CaMnCl structure. Source: Alexandria via LeMat-Bulk, functional PBE-GGA.

```
CaMnCl
1.0
4.835 0.000 0.000
2.417 4.187 0.000
2.417 1.396 3.948
Ca Mn Cl
1 1 1
direct
0.500 0.500 0.500
0.000 0.000 0.000
0.750 0.750 0.750
```

Values from the calculation:
* symmetry: F-43m (216)
* formation energy without anion corrections: 6 meV per atom

Entry 10:
A geometry-optimized Li6Ac2Ag3 structure. Source: Alexandria via LeMat-Bulk, functional PBE-GGA.

```
Li6Ac2Ag3
1.0
4.264 0.000 0.000
0.000 8.444 0.000
0.000 -4.222 7.312
Li Ag Ac
6 3 2
direct
0.500 0.000 0.265
0.500 0.735 0.735
0.000 0.000 0.803
0.000 0.197 0.197
0.500 0.265 0.000
0.000 0.803 0.000
0.500 0.000 0.606
0.500 0.606 0.000
0.500 0.394 0.394
0.000 0.667 0.333
0.000 0.333 0.667
```

Values from the calculation:
* total energy: -2.685 eV/atom
* symmetry: P-62m (189)

Entry 11:
A geometry-optimized AsAuSe4 structure. Source: Alexandria via LeMat-Bulk, functional PBE-GGA.

```
AsAuSe4
1.0
0.000 4.006 4.006
4.006 0.000 4.006
4.006 4.006 0.000
As Se Au
1 4 1
direct
0.750 0.750 0.750
0.375 0.876 0.375
0.876 0.375 0.375
0.375 0.375 0.876
0.375 0.375 0.375
0.000 0.000 0.000
```

Values from the calculation:
* symmetry: F-43m (216)
* formation energy without anion corrections: 793 meV per atom

Entry 12:
A geometry-optimized Tb4P2S structure. Source: Alexandria via LeMat-Bulk, functional PBE-GGA.

```
Tb4P2S
1.0
7.114 0.208 -2.764
-3.843 6.253 -2.103
0.128 -0.208 7.631
Tb S P
8 2 4
direct
0.303 0.080 0.383
0.803 0.133 0.330
0.197 0.527 0.330
0.303 0.223 0.920
0.803 0.670 0.473
0.197 0.670 0.867
0.697 0.617 0.920
0.697 0.080 0.777
0.000 0.000 0.000
0.500 0.750 0.250
0.250 0.875 0.625
0.750 0.375 0.125
0.750 0.375 0.625
0.250 0.375 0.625
```

Values from the calculation:
* symmetry: I4_1/amd (141)
* formation energy without anion corrections: -1306 meV per atom